No. 1
Here is crystalline Zn2InRh at its relaxed geometry from the Alexandria database. Energies are from GGA-PBE.

It has space group R-3m (No. 166, hexagonal axes), with a = 3.0569 Å, b = 3.0569 Å, c = 25.8131 Å, α = 90.00°, β = 90.00° and γ = 120.00°. The distinct sites, in fractional coordinates, are Zn at (0.0000, 0.0000, 0.2401), In at (0.0000, 0.0000, 0.0000) and Rh at (0.0000, 0.0000, 0.5000).

No. 2
Here is crystalline ZnIn2Rh at its relaxed geometry from the Alexandria database. Energies are from GGA-PBE.

It has space group F-43m (No. 216), with a = 6.661 Å, b = 6.661 Å, c = 6.661 Å, α = 90.00°, β = 90.00° and γ = 90.00°. The distinct sites, in fractional coordinates, are Zn at (0.000, 0.000, 0.000), In at (0.000, 0.000, 0.500), In at (0.250, 0.250, 0.250) and Rh at (0.250, 0.250, 0.750).

No. 3
Here is crystalline ZnIn2Rh at its relaxed geometry from the Alexandria database. Energies are from GGA-PBE.

It has space group Pm (No. 6), with a = 3.412 Å, b = 4.259 Å, c = 5.425 Å, α = 90.00°, β = 107.66° and γ = 90.00°. The distinct sites, in fractional coordinates, are Zn at (0.000, 0.000, 0.000), In at (0.277, 0.000, 0.545), In at (0.580, 0.500, 0.167) and Rh at (0.855, 0.500, 0.712).

No. 4
Here is crystalline ZnInRh4 at its relaxed geometry from the Alexandria database. Energies are from GGA-PBE.

It has space group Pmmm (No. 47), with a = 2.825 Å, b = 4.461 Å, c = 7.573 Å, α = 90.00°, β = 90.00° and γ = 90.00°. The distinct sites, in fractional coordinates, are Zn at (0.000, 0.000, 0.000), In at (0.500, 0.500, 0.500), Rh at (0.000, 0.500, 0.182) and Rh at (0.500, 0.000, 0.287).

No. 5
Here is crystalline ZnIn2Rh at its relaxed geometry from the Alexandria database. Energies are from GGA-PBE.

It has space group I-42d (No. 122), with a = 10.034 Å, b = 10.034 Å, c = 4.894 Å, α = 90.00°, β = 90.00° and γ = 90.00°. The distinct sites, in fractional coordinates, are Zn at (0.000, 0.000, 0.000), In at (0.001, 0.250, 0.625) and Rh at (0.000, 0.000, 0.500).

No. 6
Here is crystalline ZnInRh2 at its relaxed geometry from the Alexandria database. Energies are from GGA-PBE.

It has space group R-3m (No. 166, hexagonal axes), with a = 3.0084 Å, b = 3.0084 Å, c = 24.5099 Å, α = 90.00°, β = 90.00° and γ = 120.00°. The distinct sites, in fractional coordinates, are Zn at (0.0000, 0.0000, 0.0000), In at (0.0000, 0.0000, 0.5000) and Rh at (0.0000, 0.0000, 0.2538).

No. 7
Here is crystalline Zn3InRh4 at its relaxed geometry from the Alexandria database. Energies are from GGA-PBE.

It has space group R-3m (No. 166, hexagonal axes), with a = 4.3500 Å, b = 4.3500 Å, c = 21.3930 Å, α = 90.00°, β = 90.00° and γ = 120.00°. The distinct sites, in fractional coordinates, are Zn at (0.0000, 0.0000, 0.0000), Zn at (0.0000, 0.0000, 0.2517), In at (0.0000, 0.0000, 0.5000), Rh at (0.0000, 0.0000, 0.1221) and Rh at (0.0000, 0.0000, 0.3728).

No. 8
Here is crystalline ZnInRh4 at its relaxed geometry from the Alexandria database. Energies are from GGA-PBE.

It has space group F-43m (No. 216), with a = 7.308 Å, b = 7.308 Å, c = 7.308 Å, α = 90.00°, β = 90.00° and γ = 90.00°. The distinct sites, in fractional coordinates, are Zn at (0.000, 0.000, 0.000), In at (0.250, 0.250, 0.250) and Rh at (0.125, 0.125, 0.625).

No. 9
Here is crystalline Zn2InRh2 at its relaxed geometry from the Alexandria database. Energies are from GGA-PBE.

It has space group P4/mbm (No. 127), with a = 7.152 Å, b = 7.152 Å, c = 3.023 Å, α = 90.00°, β = 90.00° and γ = 90.00°. The distinct sites, in fractional coordinates, are Zn at (0.123, 0.377, 0.000), In at (0.000, 0.000, 0.000) and Rh at (0.174, 0.674, 0.500).

No. 10
Here is crystalline ZnIn2Rh at its relaxed geometry from the Alexandria database. Energies are from GGA-PBE.

It has space group I4/mmm (No. 139), with a = 4.204 Å, b = 4.204 Å, c = 8.111 Å, α = 90.00°, β = 90.00° and γ = 90.00°. The distinct sites, in fractional coordinates, are Zn at (0.000, 0.000, 0.000), In at (0.000, 0.500, 0.250) and Rh at (0.000, 0.000, 0.500).

No. 11
Here is crystalline ZnInRh2 at its relaxed geometry from the Alexandria database. Energies are from GGA-PBE.

It has space group Imm2 (No. 44), with a = 3.095 Å, b = 4.384 Å, c = 9.293 Å, α = 90.00°, β = 90.00° and γ = 90.00°. The distinct sites, in fractional coordinates, are Zn at (0.000, 0.000, 0.000), In at (0.000, 0.500, 0.760), Rh at (0.000, 0.000, 0.516) and Rh at (0.000, 0.500, 0.272).

No. 12
Here is crystalline ZnIn2Rh at its relaxed geometry from the Alexandria database. Energies are from GGA-PBE.

It has space group C2/m (No. 12), with a = 9.225 Å, b = 3.284 Å, c = 5.012 Å, α = 90.00°, β = 101.50° and γ = 90.00°. The distinct sites, in fractional coordinates, are Zn at (0.000, 0.000, 0.000), In at (0.241, 0.000, 0.739) and Rh at (0.000, 0.500, 0.500).

No. 13
Here is crystalline ZnIn2Rh2 at its relaxed geometry from the Alexandria database. Energies are from GGA-PBE.

It has space group I4/mmm (No. 139), with a = 4.098 Å, b = 4.098 Å, c = 11.977 Å, α = 90.00°, β = 90.00° and γ = 90.00°. The distinct sites, in fractional coordinates, are Zn at (0.000, 0.000, 0.000), In at (0.000, 0.500, 0.250) and Rh at (0.000, 0.000, 0.396).

No. 14
Here is crystalline Zn2InRh at its relaxed geometry from the Alexandria database. Energies are from GGA-PBE.

It has space group I-42d (No. 122), with a = 3.865 Å, b = 3.865 Å, c = 19.064 Å, α = 90.00°, β = 90.00° and γ = 90.00°. The distinct sites, in fractional coordinates, are Zn at (0.215, 0.250, 0.125), In at (0.000, 0.000, 0.500) and Rh at (0.000, 0.000, 0.000).

No. 15
Here is crystalline Zn2InRh at its relaxed geometry from the Alexandria database. Energies are from GGA-PBE.

It has space group I-4m2 (No. 119), with a = 3.908 Å, b = 3.908 Å, c = 8.314 Å, α = 90.00°, β = 90.00° and γ = 90.00°. The distinct sites, in fractional coordinates, are Zn at (0.000, 0.000, 0.000), Zn at (0.000, 0.500, 0.250), In at (0.000, 0.000, 0.500) and Rh at (0.000, 0.500, 0.750).

No. 16
Here is crystalline ZnInRh2 at its relaxed geometry from the Alexandria database. Energies are from GGA-PBE.

It has space group R3m (No. 160, hexagonal axes), with a = 2.9335 Å, b = 2.9335 Å, c = 26.4385 Å, α = 90.00°, β = 90.00° and γ = 120.00°. The distinct sites, in fractional coordinates, are Zn at (0.0000, 0.0000, 0.0000), In at (0.0000, 0.0000, 0.7604), Rh at (0.0000, 0.0000, 0.2580) and Rh at (0.0000, 0.0000, 0.5112).

No. 17
Here is crystalline ZnIn2Rh at its relaxed geometry from the Alexandria database. Energies are from GGA-PBE.

It has space group Cm (No. 8), with a = 10.314 Å, b = 3.178 Å, c = 4.767 Å, α = 90.00°, β = 108.22° and γ = 90.00°. The distinct sites, in fractional coordinates, are Zn at (0.000, 0.000, 0.000), In at (0.230, 0.000, 0.808), In at (0.442, 0.000, 0.451) and Rh at (0.198, 0.500, 0.302).

No. 18
Here is crystalline ZnIn2Rh2 at its relaxed geometry from the Alexandria database. Energies are from GGA-PBE.

It has space group P4/mbm (No. 127), with a = 7.648 Å, b = 7.648 Å, c = 3.071 Å, α = 90.00°, β = 90.00° and γ = 90.00°. The distinct sites, in fractional coordinates, are Zn at (0.000, 0.000, 0.000), In at (0.146, 0.354, 0.000) and Rh at (0.151, 0.651, 0.500).

No. 19
Here is crystalline ZnInRh2 at its relaxed geometry from the Alexandria database. Energies are from GGA-PBE.

It has space group I-42d (No. 122), with a = 4.017 Å, b = 4.017 Å, c = 17.733 Å, α = 90.00°, β = 90.00° and γ = 90.00°. The distinct sites, in fractional coordinates, are Zn at (0.000, 0.000, 0.000), In at (0.000, 0.000, 0.500) and Rh at (0.199, 0.250, 0.125).

No. 20
Here is crystalline Zn2InRh at its relaxed geometry from the Alexandria database. Energies are from GGA-PBE.

It has space group P4/mmm (No. 123), with a = 3.941 Å, b = 3.941 Å, c = 4.104 Å, α = 90.00°, β = 90.00° and γ = 90.00°. The distinct sites, in fractional coordinates, are Zn at (0.000, 0.500, 0.000), In at (0.000, 0.000, 0.500) and Rh at (0.500, 0.500, 0.500).

No. 21
Here is crystalline ZnIn2Rh at its relaxed geometry from the Alexandria database. Energies are from GGA-PBE.

It has space group C2/m (No. 12), with a = 5.926 Å, b = 7.708 Å, c = 3.172 Å, α = 90.00°, β = 90.35° and γ = 90.00°. The distinct sites, in fractional coordinates, are Zn at (0.000, 0.000, 0.000), In at (0.250, 0.250, 0.500) and Rh at (0.000, 0.500, 0.000).

No. 22
Here is crystalline ZnInRh3 at its relaxed geometry from the Alexandria database. Energies are from GGA-PBE.

It has space group Pm-3m (No. 221), with a = 4.549 Å, b = 4.549 Å, c = 4.549 Å, α = 90.00°, β = 90.00° and γ = 90.00°. The distinct sites, in fractional coordinates, are Zn at (0.000, 0.000, 0.000), In at (0.500, 0.500, 0.500) and Rh at (0.000, 0.000, 0.500).

No. 23
Here is crystalline ZnInRh2 at its relaxed geometry from the Alexandria database. Energies are from GGA-PBE.

It has space group Cm (No. 8), with a = 9.769 Å, b = 2.987 Å, c = 4.574 Å, α = 90.00°, β = 108.69° and γ = 90.00°. The distinct sites, in fractional coordinates, are Zn at (0.000, 0.000, 0.000), In at (0.231, 0.000, 0.606), Rh at (0.242, 0.500, 0.106) and Rh at (0.483, 0.000, 0.491).

No. 24
Here is crystalline ZnInRh2 at its relaxed geometry from the Alexandria database. Energies are from GGA-PBE.

It has space group Immm (No. 71), with a = 2.809 Å, b = 4.712 Å, c = 10.375 Å, α = 90.00°, β = 90.00° and γ = 90.00°. The distinct sites, in fractional coordinates, are Zn at (0.000, 0.000, 0.000), In at (0.000, 0.000, 0.500) and Rh at (0.000, 0.000, 0.235).

No. 25
Here is crystalline ZnInRh2 at its relaxed geometry from the Alexandria database. Energies are from GGA-PBE.

It has space group P4mm (No. 99), with a = 3.304 Å, b = 3.304 Å, c = 5.890 Å, α = 90.00°, β = 90.00° and γ = 90.00°. The distinct sites, in fractional coordinates, are Zn at (0.000, 0.000, 0.000), In at (0.500, 0.500, 0.303), Rh at (0.000, 0.000, 0.537) and Rh at (0.500, 0.500, 0.824).

No. 26
Here is crystalline Zn2InRh at its relaxed geometry from the Alexandria database. Energies are from GGA-PBE.

It has space group R3m (No. 160, hexagonal axes), with a = 3.0840 Å, b = 3.0840 Å, c = 24.9872 Å, α = 90.00°, β = 90.00° and γ = 120.00°. The distinct sites, in fractional coordinates, are Zn at (0.0000, 0.0000, 0.0000), Zn at (0.0000, 0.0000, 0.2530), In at (0.0000, 0.0000, 0.4938) and Rh at (0.0000, 0.0000, 0.7425).

No. 27
Here is crystalline Zn2In2Rh at its relaxed geometry from the Alexandria database. Energies are from GGA-PBE.

It has space group P4/mbm (No. 127), with a = 6.810 Å, b = 6.810 Å, c = 3.981 Å, α = 90.00°, β = 90.00° and γ = 90.00°. The distinct sites, in fractional coordinates, are Zn at (0.133, 0.367, 0.000), In at (0.176, 0.676, 0.500) and Rh at (0.000, 0.000, 0.000).

No. 28
Here is crystalline ZnInRh2 at its relaxed geometry from the Alexandria database. Energies are from GGA-PBE.

It has space group C2/m (No. 12), with a = 8.514 Å, b = 3.005 Å, c = 5.104 Å, α = 90.00°, β = 102.55° and γ = 90.00°. The distinct sites, in fractional coordinates, are Zn at (0.000, 0.000, 0.000), In at (0.000, 0.500, 0.500) and Rh at (0.245, 0.500, 0.230).

Fermi-level density of states? In order: 2.4; 2.8; 1.1; 9.5; 2.5; 1.5; 4.3; 6.9; 2.1; 1.4; 4.1; 1.8; 2.3; 2.5; 1.1; 4.1; 1.9; 2.0; 3.3; 1.8; 1.6; 6.8; 3.9; 3.9; 3.9; 1.2; 3.4; 3.1 states/eV/f.u..
Calculated total energy? In order: -0.2343; -0.2534; -0.2731; -0.4090; -0.2634; -0.3573; -0.3601; -0.4046; -0.3159; -0.2681; -0.3593; -0.2620; -0.3078; -0.2320; -0.2502; -0.3387; -0.2687; -0.3266; -0.3342; -0.2460; -0.2654; -0.3360; -0.3637; -0.3231; -0.3534; -0.2341; -0.2216; -0.3599 Ry per atom.